Entry 1:
The following is a PBE-GGA calculation of RbPaPO after structural relaxation, from OQMD via LeMat-Bulk.

Unit cell a=5.636 b=5.636 c=5.478 alpha=90.00 beta=90.00 gamma=90.00
Fractional positions:
Rb 0.250 0.250 0.002
Rb 0.750 0.750 0.998
Pa 0.250 0.750 0.500
Pa 0.750 0.250 0.500
P 0.250 0.250 0.502
P 0.750 0.750 0.498
O 0.250 0.750 0.000
O 0.750 0.250 0.000

Values from the calculation:
- space group = P4/nmm (129)
- crystal system = tetragonal

Entry 2:
The following is a PBE-GGA calculation of RbPaPO after structural relaxation, from OQMD via LeMat-Bulk.

Unit cell a=4.412 b=8.370 c=7.020 alpha=90.00 beta=90.00 gamma=90.00
Fractional positions:
Rb 0.000 0.169 0.000
Rb 0.000 0.831 0.500
Pa 0.500 0.390 0.575
Pa 0.500 0.610 0.075
P 0.000 0.225 0.475
P 0.000 0.775 0.975
O 0.500 0.399 0.891
O 0.500 0.601 0.391

Values from the calculation:
- space group = Pmc2_1 (26)
- crystal system = orthorhombic

Entry 3:
The following is a PBE-GGA calculation of RbPaPO after structural relaxation, from OQMD via LeMat-Bulk.

Unit cell a=4.112 b=4.112 c=10.304 alpha=90.00 beta=90.00 gamma=90.00
Fractional positions:
Rb 0.250 0.750 0.000
Rb 0.750 0.250 0.000
Pa 0.250 0.250 0.377
Pa 0.750 0.750 0.623
P 0.250 0.250 0.755
P 0.750 0.750 0.245
O 0.250 0.750 0.500
O 0.750 0.250 0.500

Values from the calculation:
- space group = P4/nmm (129)
- crystal system = tetragonal

Distance to the lowest polymorph of the same formula
In order: 0.697, 0.000, 0.186
Unit: eV per atom